First-principles (PBE-GGA) data for a relaxed structure of LaEr5Sc2, as listed in Alexandria via LeMat-Bulk.

Summary:
- energy of formation (eV per atom) = 0.046
- DOS at the Fermi energy (states/eV/atom) = 1.565
- electronic total energy (hartree per atom) = -0.184
- calculated volume (A^3/atom) = 29.567
- SG = I4mm (107)

Cell lengths 6.900, 6.900, 6.963 Å; angles 119.70, 119.70, 90.00 degrees
Positions (direct):
La (0.222, 0.222, 0.444)
Er (0.722, 0.222, 0.944)
Er (0.222, 0.222, 0.944)
Er (0.722, 0.722, 0.944)
Er (0.222, 0.722, 0.944)
Er (0.722, 0.722, 0.445)
Sc (0.222, 0.722, 0.444)
Sc (0.722, 0.222, 0.444)